[1]
The following is a DFT calculation (PBE-GGA) of crystalline CdTeC2 at its relaxed geometry.

Computed properties:
N(E_F) = 2.3 states/eV per cell
DFT total energy = -3.270 eV per atom
SG = Fm-3m, No. 225

Unit cell a=4.3816 b=4.3816 c=4.3816 alpha=60.00 beta=60.00 gamma=60.00
Atoms (fractional coordinates):
Cd 0.0000 0.0000 0.0000
Te 0.5000 0.5000 0.5000
C 0.2500 0.2500 0.2500
C 0.7500 0.7500 0.7500

[2]
The following is a DFT calculation (PBE-GGA) of crystalline Sc2Sb2H at its relaxed geometry.

Computed properties:
N(E_F) = 4.1 states/eV per cell
DFT total energy = -4.859 eV per atom
SG = I4/mmm, No. 139

Unit cell a=6.0830 b=6.0830 c=6.0830 alpha=127.32 beta=127.32 gamma=77.72
Atoms (fractional coordinates):
Sc 0.2500 0.7500 0.5000
Sc 0.7500 0.2500 0.5000
Sb 0.1526 0.1526 0.0000
Sb 0.8474 0.8474 0.0000
H 0.5000 0.5000 0.0000

[3]
The following is a DFT calculation (PBE-GGA) of crystalline CeSnP2 at its relaxed geometry.

Computed properties:
N(E_F) = 0.3 states/eV per cell
DFT total energy = -5.786 eV per atom
SG = R3m, No. 160
formation energy = -230 kJ/mol of formula units

Unit cell a=6.9902 b=6.9902 c=6.9902 alpha=34.71 beta=34.71 gamma=34.71
Atoms (fractional coordinates):
Ce 0.0000 0.0000 0.0000
Sn 0.1704 0.1704 0.1704
P 0.3999 0.3999 0.3999
P 0.5803 0.5803 0.5803

[4]
The following is a DFT calculation (PBE-GGA) of crystalline TlAs2SeF at its relaxed geometry.

Computed properties:
N(E_F) = 5.6 states/eV per cell
DFT total energy = -2.534 eV per atom
SG = P4/mmm, No. 123

Unit cell a=5.4034 b=5.4034 c=5.3345 alpha=90.00 beta=90.00 gamma=90.00
Atoms (fractional coordinates):
Tl 0.0000 0.0000 0.0000
As 0.0000 0.5000 0.0000
As 0.5000 0.0000 0.0000
Se 0.0000 0.0000 0.5000
F 0.5000 0.5000 0.5000

[5]
The following is a DFT calculation (PBE-GGA) of crystalline AsRu2W at its relaxed geometry.

Computed properties:
N(E_F) = 3.7 states/eV per cell
DFT total energy = -8.875 eV per atom
SG = C2/m, No. 12
formation energy = 63 kJ/mol of formula units

Unit cell a=4.6543 b=4.6543 c=4.7477 alpha=94.43 beta=94.43 gamma=35.64
Atoms (fractional coordinates):
As 0.0000 0.0000 0.0000
Ru 0.2407 0.2407 0.7454
Ru 0.7593 0.7593 0.2546
W 0.5000 0.5000 0.5000

[6]
The following is a DFT calculation (PBE-GGA) of crystalline LaUSn2 at its relaxed geometry.

Computed properties:
N(E_F) = 7.8 states/eV per cell
DFT total energy = -5.924 eV per atom
SG = R-3m, No. 166
formation energy = 51 kJ/mol of formula units

Unit cell a=12.3638 b=12.3638 c=12.3638 alpha=14.99 beta=14.99 gamma=14.99
Atoms (fractional coordinates):
La 0.0000 0.0000 0.0000
U 0.5000 0.5000 0.5000
Sn 0.0908 0.0908 0.0908
Sn 0.9092 0.9092 0.9092

[7]
The following is a DFT calculation (PBE-GGA) of crystalline CdNi2H2 at its relaxed geometry.

Computed properties:
N(E_F) = 1.6 states/eV per cell
DFT total energy = -3.873 eV per atom
SG = I4/mmm, No. 139

Unit cell a=5.2898 b=5.2898 c=5.2898 alpha=145.54 beta=145.54 gamma=49.53
Atoms (fractional coordinates):
Cd 0.0000 0.0000 0.0000
Ni 0.3250 0.3250 0.0000
Ni 0.6750 0.6750 0.0000
H 0.2500 0.7500 0.5000
H 0.7500 0.2500 0.5000

[8]
The following is a DFT calculation (PBE-GGA) of crystalline LiMgPb2 at its relaxed geometry.

Computed properties:
N(E_F) = 1.0 states/eV per cell
DFT total energy = -2.786 eV per atom
SG = F-43m, No. 216
formation energy = -21 kJ/mol of formula units

Unit cell a=5.3302 b=5.3302 c=5.3302 alpha=60.00 beta=60.00 gamma=60.00
Atoms (fractional coordinates):
Li 0.0000 0.0000 0.0000
Mg 0.7500 0.7500 0.7500
Pb 0.2500 0.2500 0.2500
Pb 0.5000 0.5000 0.5000

What did the eighth record say?
The following is a DFT calculation (PBE-GGA) of crystalline LiMgPb2 at its relaxed geometry.

Computed properties:
N(E_F) = 1.0 states/eV per cell
DFT total energy = -2.786 eV per atom
SG = F-43m, No. 216
formation energy = -21 kJ/mol of formula units

Unit cell a=5.3302 b=5.3302 c=5.3302 alpha=60.00 beta=60.00 gamma=60.00
Atoms (fractional coordinates):
Li 0.0000 0.0000 0.0000
Mg 0.7500 0.7500 0.7500
Pb 0.2500 0.2500 0.2500
Pb 0.5000 0.5000 0.5000

Question: Among the records above, which one has the highest N(E_F)?
Answer: LaUSn2